Entry 1:
This record from OQMD describes LuAlZnFe after structural relaxation. The functional is PBE-GGA.

Properties
density = 8.09 g/cm³
offset from the most stable computed form = 0.036 eV per atom
spin magnetization = 7.83 μB per cell

Lattice parameters (Å, degrees): 6.426 6.426 6.426 90.00 90.00 90.00
Space group F-43m (No. 216)
Unique sites:
Lu 0.000 0.000 0.000 x4
Al 0.250 0.250 0.250 x4
Zn 0.250 0.250 0.750 x4
Fe 0.000 0.000 0.500 x4

***

Entry 2:
This record from OQMD describes LuZrAlFe after structural relaxation. The functional is PBE-GGA.

Properties
density = 8.24 g/cm³
offset from the most stable computed form = 0.000 eV per atom
spin magnetization = 0.00 μB per cell

Lattice parameters (Å, degrees): 6.554 6.554 6.554 90.00 90.00 90.00
Space group F-43m (No. 216)
Unique sites:
Lu 0.000 0.000 0.000 x4
Zr 0.250 0.250 0.750 x4
Al 0.250 0.250 0.250 x4
Fe 0.000 0.000 0.500 x4

***

Entry 3:
This record from OQMD describes MgAlFe2 after structural relaxation. The functional is PBE-GGA.

Properties
density = 5.18 g/cm³
spin magnetization = 10.82 μB per cell

Lattice parameters (Å, degrees): 5.935 5.935 5.935 90.00 90.00 90.00
Space group Pm-3m (No. 221)
Unique sites:
Mg 0.000 0.000 0.000 x1
Mg 0.000 0.000 0.500 x3
Al 0.000 0.500 0.500 x3
Al 0.500 0.500 0.500 x1
Fe 0.267 0.267 0.267 x8

***

Entry 4:
This record from OQMD describes MgAlFe2 after structural relaxation. The functional is PBE-GGA.

Properties
density = 5.17 g/cm³
spin magnetization = 10.82 μB per cell

Lattice parameters (Å, degrees): 5.936 5.936 5.936 90.00 90.00 90.00
Space group Pm-3m (No. 221)
Unique sites:
Mg 0.000 0.000 0.000 x1
Mg 0.000 0.000 0.500 x3
Al 0.000 0.500 0.500 x3
Al 0.500 0.500 0.500 x1
Fe 0.267 0.267 0.267 x8

***

Entry 5:
This record from OQMD describes MgAlFeMo after structural relaxation. The functional is PBE-GGA.

Properties
density = 5.98 g/cm³
offset from the most stable computed form = 0.000 eV per atom
spin magnetization = 3.47 μB per cell

Lattice parameters (Å, degrees): 6.088 6.088 6.088 90.00 90.00 90.00
Space group F-43m (No. 216)
Unique sites:
Mg 0.000 0.000 0.000 x4
Al 0.250 0.250 0.250 x4
Fe 0.000 0.000 0.500 x4
Mo 0.250 0.250 0.750 x4

***

Entry 6:
This record from OQMD describes MgAlFeOs after structural relaxation. The functional is PBE-GGA.

Properties
density = 8.85 g/cm³
offset from the most stable computed form = 0.000 eV per atom
spin magnetization = 9.16 μB per cell

Lattice parameters (Å, degrees): 6.066 6.066 6.066 90.00 90.00 90.00
Space group F-43m (No. 216)
Unique sites:
Mg 0.000 0.000 0.000 x4
Al 0.000 0.000 0.500 x4
Fe 0.250 0.250 0.750 x4
Os 0.250 0.250 0.250 x4

***

Entry 7:
This record from OQMD describes MgAlFePd after structural relaxation. The functional is PBE-GGA.

Properties
density = 6.18 g/cm³
offset from the most stable computed form = 0.000 eV per atom
spin magnetization = 7.03 μB per cell

Lattice parameters (Å, degrees): 6.124 6.124 6.124 90.00 90.00 90.00
Space group F-43m (No. 216)
Unique sites:
Mg 0.000 0.000 0.000 x4
Al 0.000 0.000 0.500 x4
Fe 0.250 0.250 0.750 x4
Pd 0.250 0.250 0.250 x4

***

Entry 8:
This record from OQMD describes PrMgAl7Fe2 after structural relaxation. The functional is PBE-GGA.

Properties
density = 4.13 g/cm³
spin magnetization = 4.01 μB per cell

Lattice parameters (Å, degrees): 12.840 14.573 3.999 90.00 90.00 90.00
Space group Pbam (No. 55)
Unique sites:
Pr 0.161 0.182 0.000 x4
Mg 0.170 0.452 0.000 x4
Al 0.000 0.000 0.000 x2
Al 0.000 0.500 0.500 x2
Al 0.022 0.866 0.500 x4
Al 0.049 0.323 0.500 x4
Al 0.091 0.743 0.000 x4
Al 0.157 0.618 0.500 x4
Al 0.162 0.004 0.500 x4
Al 0.227 0.826 0.500 x4
Fe 0.033 0.590 0.000 x4
Fe 0.137 0.897 0.000 x4

***

Entry 9:
This record from OQMD describes MgAlFeRe after structural relaxation. The functional is PBE-GGA.

Properties
density = 8.72 g/cm³
offset from the most stable computed form = 0.000 eV per atom
spin magnetization = 7.86 μB per cell

Lattice parameters (Å, degrees): 6.068 6.068 6.068 90.00 90.00 90.00
Space group F-43m (No. 216)
Unique sites:
Mg 0.000 0.000 0.000 x4
Al 0.250 0.250 0.250 x4
Fe 0.000 0.000 0.500 x4
Re 0.250 0.250 0.750 x4

***

Entry 10:
This record from OQMD describes YMgAlFe after structural relaxation. The functional is PBE-GGA.

Properties
density = 4.28 g/cm³
offset from the most stable computed form = 0.000 eV per atom
spin magnetization = 9.12 μB per cell

Lattice parameters (Å, degrees): 6.727 6.727 6.727 90.00 90.00 90.00
Space group F-43m (No. 216)
Unique sites:
Y 0.000 0.000 0.000 x4
Mg 0.250 0.250 0.750 x4
Al 0.250 0.250 0.250 x4
Fe 0.000 0.000 0.500 x4

***

Entry 11:
This record from OQMD describes YMgAlFe after structural relaxation. The functional is PBE-GGA.

Properties
density = 4.56 g/cm³
offset from the most stable computed form = 0.017 eV per atom
spin magnetization = 8.24 μB per cell

Lattice parameters (Å, degrees): 6.587 6.587 6.587 90.00 90.00 90.00
Space group F-43m (No. 216)
Unique sites:
Y 0.000 0.000 0.000 x4
Mg 0.250 0.250 0.250 x4
Al 0.000 0.000 0.500 x4
Fe 0.250 0.250 0.750 x4

***

Entry 12:
This record from OQMD describes AlFeMo2 after structural relaxation. The functional is PBE-GGA.

Properties
density = 8.10 g/cm³
spin magnetization = 3.89 μB per cell

Lattice parameters (Å, degrees): 6.085 6.085 6.085 90.00 90.00 90.00
Space group F-43m (No. 216)
Unique sites:
Al 0.000 0.000 0.000 x4
Fe 0.250 0.250 0.250 x4
Mo 0.000 0.000 0.500 x4
Mo 0.250 0.250 0.750 x4

***

Entry 13:
This record from OQMD describes AlFeMo after structural relaxation. The functional is PBE-GGA.

Properties
density = 6.23 g/cm³
offset from the most stable computed form = 0.000 eV per atom
spin magnetization = 3.74 μB per cell

Lattice parameters (Å, degrees): 5.755 5.755 5.755 90.00 90.00 90.00
Space group F-43m (No. 216)
Unique sites:
Al 0.000 0.000 0.000 x4
Fe 0.000 0.000 0.500 x4
Mo 0.250 0.250 0.250 x4

***

Entry 14:
This record from OQMD describes NbAlFeMo after structural relaxation. The functional is PBE-GGA.

Properties
density = 7.60 g/cm³
offset from the most stable computed form = 0.000 eV per atom
spin magnetization = 7.38 μB per cell

Lattice parameters (Å, degrees): 6.192 6.192 6.192 90.00 90.00 90.00
Space group F-43m (No. 216)
Unique sites:
Nb 0.000 0.000 0.000 x4
Al 0.000 0.000 0.500 x4
Fe 0.250 0.250 0.750 x4
Mo 0.250 0.250 0.250 x4

***

Entry 15:
This record from OQMD describes AlFeNiMo after structural relaxation. The functional is PBE-GGA.

Properties
density = 7.72 g/cm³
offset from the most stable computed form = 0.000 eV per atom
spin magnetization = 5.31 μB per cell

Lattice parameters (Å, degrees): 5.891 5.891 5.891 90.00 90.00 90.00
Space group F-43m (No. 216)
Unique sites:
Al 0.000 0.000 0.000 x4
Fe 0.250 0.250 0.250 x4
Ni 0.250 0.250 0.750 x4
Mo 0.000 0.000 0.500 x4

***

Entry 16:
This record from OQMD describes AlFeNiMo after structural relaxation. The functional is PBE-GGA.

Properties
density = 7.57 g/cm³
offset from the most stable computed form = 0.196 eV per atom
spin magnetization = 5.60 μB per cell

Lattice parameters (Å, degrees): 5.928 5.928 5.928 90.00 90.00 90.00
Space group F-43m (No. 216)
Unique sites:
Al 0.000 0.000 0.000 x4
Fe 0.250 0.250 0.250 x4
Ni 0.000 0.000 0.500 x4
Mo 0.250 0.250 0.750 x4

***

Entry 17:
This record from OQMD describes AlFeMoOs after structural relaxation. The functional is PBE-GGA.

Properties
density = 11.17 g/cm³
offset from the most stable computed form = 0.000 eV per atom
spin magnetization = 2.91 μB per cell

Lattice parameters (Å, degrees): 6.032 6.032 6.032 90.00 90.00 90.00
Space group F-43m (No. 216)
Unique sites:
Al 0.000 0.000 0.000 x4
Fe 0.250 0.250 0.250 x4
Mo 0.000 0.000 0.500 x4
Os 0.250 0.250 0.750 x4

***

Entry 18:
This record from OQMD describes AlFeMoPd after structural relaxation. The functional is PBE-GGA.

Properties
density = 8.29 g/cm³
offset from the most stable computed form = 0.000 eV per atom
spin magnetization = 5.82 μB per cell

Lattice parameters (Å, degrees): 6.114 6.114 6.114 90.00 90.00 90.00
Space group F-43m (No. 216)
Unique sites:
Al 0.000 0.000 0.000 x4
Fe 0.250 0.250 0.250 x4
Mo 0.000 0.000 0.500 x4
Pd 0.250 0.250 0.750 x4

***

Entry 19:
This record from OQMD describes AlFeReMo after structural relaxation. The functional is PBE-GGA.

Properties
density = 10.98 g/cm³
offset from the most stable computed form = 0.000 eV per atom
spin magnetization = 0.04 μB per cell

Lattice parameters (Å, degrees): 6.044 6.044 6.044 90.00 90.00 90.00
Space group F-43m (No. 216)
Unique sites:
Al 0.000 0.000 0.000 x4
Fe 0.250 0.250 0.250 x4
Re 0.250 0.250 0.750 x4
Mo 0.000 0.000 0.500 x4

***

Entry 20:
This record from OQMD describes ScAlFeMo after structural relaxation. The functional is PBE-GGA.

Properties
density = 6.19 g/cm³
offset from the most stable computed form = 0.000 eV per atom
spin magnetization = 0.08 μB per cell

Lattice parameters (Å, degrees): 6.214 6.214 6.214 90.00 90.00 90.00
Space group F-43m (No. 216)
Unique sites:
Sc 0.000 0.000 0.000 x4
Al 0.250 0.250 0.250 x4
Fe 0.000 0.000 0.500 x4
Mo 0.250 0.250 0.750 x4

***

Entry 21:
This record from OQMD describes YAlFeMo after structural relaxation. The functional is PBE-GGA.

Properties
density = 6.56 g/cm³
offset from the most stable computed form = 0.000 eV per atom
spin magnetization = 10.21 μB per cell

Lattice parameters (Å, degrees): 6.473 6.473 6.473 90.00 90.00 90.00
Space group F-43m (No. 216)
Unique sites:
Y 0.000 0.000 0.000 x4
Al 0.000 0.000 0.500 x4
Fe 0.250 0.250 0.750 x4
Mo 0.250 0.250 0.250 x4

***

Entry 22:
This record from OQMD describes YAlFeMo after structural relaxation. The functional is PBE-GGA.

Properties
density = 6.52 g/cm³
offset from the most stable computed form = 0.097 eV per atom
spin magnetization = 7.59 μB per cell

Lattice parameters (Å, degrees): 6.486 6.486 6.486 90.00 90.00 90.00
Space group F-43m (No. 216)
Unique sites:
Y 0.000 0.000 0.000 x4
Al 0.250 0.250 0.250 x4
Fe 0.000 0.000 0.500 x4
Mo 0.250 0.250 0.750 x4

***

Entry 23:
This record from OQMD describes ZrAlFeMo after structural relaxation. The functional is PBE-GGA.

Properties
density = 7.10 g/cm³
offset from the most stable computed form = 0.000 eV per atom
spin magnetization = 10.71 μB per cell

Lattice parameters (Å, degrees): 6.320 6.320 6.320 90.00 90.00 90.00
Space group F-43m (No. 216)
Unique sites:
Zr 0.000 0.000 0.000 x4
Al 0.000 0.000 0.500 x4
Fe 0.250 0.250 0.750 x4
Mo 0.250 0.250 0.250 x4

***

Entry 24:
This record from OQMD describes Sc4AlFeN2 after structural relaxation. The functional is PBE-GGA.

Properties
density = 3.96 g/cm³
spin magnetization = 0.73 μB per cell

Lattice parameters (Å, degrees): 3.1753 3.1753 13.9720 90.00 90.00 120.00
Space group P-6m2 (No. 187)
Unique sites:
Sc 0.0000 0.0000 0.1427 x2
Sc 0.6667 0.3333 0.3239 x2
Al 0.0000 0.0000 0.5000 x1
Fe 0.6667 0.3333 0.0000 x1
N 0.3333 0.6667 0.2401 x2

***

Entry 25:
This record from OQMD describes Y4AlFeN2 after structural relaxation. The functional is PBE-GGA.

Properties
density = 5.12 g/cm³
offset from the most stable computed form = 0.000 eV per atom
spin magnetization = 0.50 μB per cell

Lattice parameters (Å, degrees): 3.4650 3.4650 14.5644 90.00 90.00 120.00
Space group P-6m2 (No. 187)
Unique sites:
Y 0.0000 0.0000 0.1365 x2
Y 0.3333 0.6667 0.3275 x2
Al 0.0000 0.0000 0.5000 x1
Fe 0.3333 0.6667 0.0000 x1
N 0.6667 0.3333 0.2395 x2

***

Entry 26:
This record from OQMD describes Zr4AlFeN2 after structural relaxation. The functional is PBE-GGA.

Properties
density = 6.32 g/cm³
spin magnetization = 0.82 μB per cell

Lattice parameters (Å, degrees): 3.2305 3.2305 13.8335 90.00 90.00 120.00
Space group P-6m2 (No. 187)
Unique sites:
Zr 0.0000 0.0000 0.1412 x2
Zr 0.3333 0.6667 0.3326 x2
Al 0.0000 0.0000 0.5000 x1
Fe 0.3333 0.6667 0.0000 x1
N 0.6667 0.3333 0.2387 x2

***

no.,calculated total energy (hartree per atom)
1,-0.167
2,-0.232
3,-0.199
4,-0.199
5,-0.220
6,-0.227
7,-0.185
8,-0.177
9,-0.232
10,-0.183
11,-0.183
12,-0.310
13,-0.260
14,-0.306
15,-0.268
16,-0.260
17,-0.320
18,-0.261
19,-0.329
20,-0.266
21,-0.260
22,-0.256
23,-0.290
24,-0.283
25,-0.276
26,-0.322